Below is an optimized crystal structure of CsZnP3, with properties calculated at the GGA-PBE level.

## Properties
As for the space-group type: No. 221. As for the energy above the most stable polymorph in this dataset: 1.507 eV/atom.

abc: 5.555 5.555 5.555
angles: 90.00 90.00 90.00
Positions (direct):
P 0.000 0.500 0.000
P 0.000 0.000 0.500
P 0.500 0.000 0.000
Zn 0.500 0.500 0.500
Cs 0.000 0.000 0.000


Below is an optimized crystal structure of CsZr2ZnP, with properties calculated at the GGA-PBE level.

## Properties
As for the space-group type: No. 123.

abc: 5.315 5.142 5.315
angles: 90.00 90.00 90.00
Positions (direct):
Zr 0.500 0.000 0.000
Zr 0.000 0.000 0.500
P 0.500 0.500 0.500
Zn 0.000 0.500 0.000
Cs 0.000 0.000 0.000


Below is an optimized crystal structure of Cs2Zr2P, with properties calculated at the GGA-PBE level.

## Properties
As for the space-group type: No. 127. As for the energy above the most stable polymorph in this dataset: 1.011 eV/atom.

abc: 8.405 8.405 4.077
angles: 90.00 90.00 90.00
Positions (direct):
P 0.500 0.500 0.000
P 0.000 0.000 0.000
Cs 0.364 0.864 0.000
Cs 0.864 0.636 0.000
Cs 0.136 0.364 0.000
Cs 0.636 0.136 0.000
Zr 0.310 0.190 0.500
Zr 0.690 0.810 0.500
Zr 0.190 0.690 0.500
Zr 0.810 0.310 0.500


Below is an optimized crystal structure of CsZr3P, with properties calculated at the GGA-PBE level.

## Properties
As for the space-group type: No. 221. As for the energy above the most stable polymorph in this dataset: 0.000 eV/atom.

abc: 5.115 5.115 5.115
angles: 90.00 90.00 90.00
Positions (direct):
Zr 0.000 0.500 0.000
Zr 0.000 0.000 0.500
Zr 0.500 0.000 0.000
Cs 0.500 0.500 0.500
P 0.000 0.000 0.000


Below is an optimized crystal structure of CsZrP2, with properties calculated at the GGA-PBE level.

## Properties
As for the space-group type: No. 225. As for the energy above the most stable polymorph in this dataset: 0.757 eV/atom.

abc: 5.068 5.068 5.068
angles: 60.00 60.00 60.00
Positions (direct):
P 0.250 0.250 0.250
P 0.750 0.750 0.750
Zr 0.000 0.000 0.000
Cs 0.500 0.500 0.500


Below is an optimized crystal structure of Cs3ZrP, with properties calculated at the GGA-PBE level.

## Properties
As for the space-group type: No. 221.

abc: 6.726 6.726 6.726
angles: 90.00 90.00 90.00
Positions (direct):
P 0.500 0.500 0.500
Zr 0.000 0.000 0.000
Cs 0.000 0.500 0.000
Cs 0.500 0.000 0.000
Cs 0.000 0.000 0.500


Below is an optimized crystal structure of CsZrP2, with properties calculated at the GGA-PBE level.

## Properties
As for the space-group type: No. 141. As for the energy above the most stable polymorph in this dataset: 0.000 eV/atom.

abc: 6.463 6.463 8.793
angles: 68.44 68.44 90.00
Positions (direct):
Cs 0.000 0.000 0.000
Cs 0.750 0.250 0.500
P 0.875 0.626 0.750
P 0.374 0.625 0.250
P 0.375 0.624 0.750
P 0.376 0.125 0.250
Zr 0.250 0.750 0.500
Zr 0.500 0.500 0.000


Below is an optimized crystal structure of CsZr3P, with properties calculated at the GGA-PBE level.

## Properties
As for the space-group type: No. 221. As for the energy above the most stable polymorph in this dataset: 1.816 eV/atom.

abc: 5.229 5.229 5.229
angles: 90.00 90.00 90.00
Positions (direct):
Zr 0.000 0.500 0.000
Zr 0.000 0.000 0.500
Zr 0.500 0.000 0.000
P 0.500 0.500 0.500
Cs 0.000 0.000 0.000


Below is an optimized crystal structure of Cs2Zr2P, with properties calculated at the GGA-PBE level.

## Properties
As for the space-group type: No. 139. As for the energy above the most stable polymorph in this dataset: 0.000 eV/atom.

abc: 3.968 3.968 12.961
angles: 81.20 81.20 90.00
Positions (direct):
P 0.000 0.000 0.000
Cs 0.589 0.589 0.823
Cs 0.411 0.411 0.177
Zr 0.750 0.250 0.500
Zr 0.250 0.750 0.500


Below is an optimized crystal structure of CsPa4, with properties calculated at the GGA-PBE level.

## Properties
As for the space-group type: No. 221.

abc: 5.533 5.533 5.533
angles: 90.00 90.00 90.00
Positions (direct):
Pa 0.000 0.500 0.500
Pa 0.500 0.500 0.000
Pa 0.000 0.000 0.000
Pa 0.500 0.000 0.500
Cs 0.500 0.500 0.500


Below is an optimized crystal structure of CsPaPb2, with properties calculated at the GGA-PBE level.

## Properties
As for the space-group type: No. 123. As for the energy above the most stable polymorph in this dataset: 0.000 eV/atom.

abc: 3.568 3.568 10.496
angles: 90.00 90.00 90.00
Positions (direct):
Cs 0.500 0.500 0.500
Pa 0.500 0.500 0.000
Pb 0.000 0.000 0.789
Pb 0.000 0.000 0.211


Below is an optimized crystal structure of CsPaPb, with properties calculated at the GGA-PBE level.

## Properties
As for the space-group type: No. 12.

abc: 3.489 14.609 5.044
angles: 91.51 90.00 96.86
Positions (direct):
Pb 0.076 0.151 0.724
Pb 0.924 0.849 0.276
Cs 0.665 0.330 0.237
Cs 0.335 0.670 0.763
Pa 0.525 0.051 0.217
Pa 0.475 0.949 0.783


no.,energy of formation from the pure elements (kJ/mol of formula units),density of states at the Fermi level (states/eV per cell)
1,1037,6.2
2,1058,5.7
3,839,10.9
4,174,5.9
5,128,1.6
6,622,6.3
7,-164,1.7
8,1050,4.0
9,352,6.5
10,1046,15.0
11,13,4.5
12,39,7.7